The following is a DFT calculation (PBE) of Tb2SmUAs4 after structural relaxation.

Properties
Energy relative to the elements: -1.33 eV/atom
M_tot: 0.29 μB/atom
Total energy: -6.813 eV per atom

Cell and atoms, written as POSCAR:
```
Tb2SmUAs4
1.0
7.171 0.000 0.000
0.000 4.127 0.000
-2.355 0.000 6.774
Tb Sm U As
2 1 1 4
Cartesian
0.000 0.000 0.000
-1.177 2.063 3.387
2.408 0.000 3.387
3.586 2.063 0.000
1.224 2.063 1.646
0.026 0.000 5.114
4.790 0.000 1.660
3.593 2.063 5.128
```

***

The following is a DFT calculation (PBE) of TbSmY2As4 after structural relaxation.

Properties
Energy relative to the elements: -1.54 eV/atom
M_tot: 0.00 μB/atom
Total energy: -6.654 eV per atom

Cell and atoms, written as POSCAR:
```
TbSmY2As4
1.0
7.187 0.000 0.000
0.000 4.153 0.000
-2.396 0.000 6.777
Tb Sm Y As
1 1 2 4
Cartesian
0.000 0.000 0.000
-1.198 2.076 3.389
2.395 0.000 3.389
3.593 2.076 0.000
1.217 2.076 1.685
0.018 0.000 5.106
4.773 0.000 1.671
3.574 2.076 5.092
```

***

The following is a DFT calculation (PBE) of Tb3Sm2YAs6 after structural relaxation.

Properties
Energy relative to the elements: -1.54 eV/atom
M_tot: 0.00 μB/atom
Total energy: -6.345 eV per atom

Cell and atoms, written as POSCAR:
```
Tb3Sm2YAs6
1.0
9.069 -2.082 0.000
9.069 2.082 0.000
-1.909 0.000 8.100
Tb Sm Y As
3 2 1 6
Cartesian
0.000 0.000 0.000
4.769 0.000 5.397
11.460 0.000 2.702
5.736 0.000 1.356
10.493 0.000 6.744
-0.954 0.000 4.050
2.841 0.000 0.695
1.910 0.000 4.696
7.616 0.000 6.065
8.614 0.000 2.035
14.320 0.000 3.404
13.388 0.000 7.404
```